VASP calculation (GGA-PBE) on Tb6Pr7Tm16 after structural relaxation.

Its density of states at the Fermi level is 47.06 states/eV per cell. The space-group type is Fm-3m. For the total energy, the calculation gives -4.323 eV/atom. The value obtained for the magnetic moment is 0.0 μB per formula unit.

Cell: 11.197 11.197 11.197 Å, 60.00 60.00 60.00°
Positions (direct):
Tb 0.255 0.745 0.255
Tb 0.745 0.255 0.745
Tb 0.745 0.255 0.255
Tb 0.255 0.745 0.745
Tb 0.745 0.745 0.255
Tb 0.255 0.255 0.745
Pr 0.000 0.000 0.000
Pr 0.500 0.000 0.500
Pr 0.000 0.500 0.000
Pr 0.000 0.500 0.500
Pr 0.500 0.000 0.000
Pr 0.000 0.000 0.500
Pr 0.500 0.500 0.000
Tm 0.870 0.870 0.390
Tm 0.870 0.870 0.870
Tm 0.870 0.390 0.870
Tm 0.390 0.870 0.870
Tm 0.130 0.130 0.130
Tm 0.130 0.130 0.610
Tm 0.130 0.610 0.130
Tm 0.610 0.130 0.130
Tm 0.650 0.650 0.051
Tm 0.650 0.650 0.650
Tm 0.650 0.051 0.650
Tm 0.051 0.650 0.650
Tm 0.350 0.350 0.350
Tm 0.350 0.350 0.949
Tm 0.350 0.949 0.350
Tm 0.949 0.350 0.350